(1)
A plane-wave DFT calculation with GGA-PBE was carried out for a geometry-optimized CsTlGa2I8 structure.

abc: 7.6620 7.6620 11.6741
angles: 90.00 90.00 120.00
Space group P-3 (No. 147)
Symmetry-distinct sites (fractional):
Cs 0.0000 0.0000 0.0000 x1
Tl 0.0000 0.0000 0.5000 x1
Ga 0.3333 0.6667 0.7666 x2
I 0.0035 0.3532 0.6967 x6
I 0.3333 0.6667 0.9872 x2

Raw total energy = -2.541 eV/atom


(2)
A plane-wave DFT calculation with GGA-PBE was carried out for a geometry-optimized CsTlGaI3 structure.

abc: 9.9694 5.3718 11.8523
angles: 90.00 110.41 90.00
Space group P2_1/m (No. 11)
Symmetry-distinct sites (fractional):
Cs 0.2187 0.2500 0.2380 x2
Tl 0.3190 0.7500 0.8769 x2
Ga 0.1494 0.2500 0.6333 x2
I 0.0893 0.2500 0.8848 x2
I 0.1873 0.7500 0.4947 x2
I 0.4735 0.7500 0.1759 x2

Raw total energy = -2.636 eV/atom


(3)
A plane-wave DFT calculation with GGA-PBE was carried out for a geometry-optimized CsUGaI6 structure.

abc: 8.2933 8.2933 16.6541
angles: 90.00 90.00 120.00
Space group P-31c (No. 163)
Symmetry-distinct sites (fractional):
Cs 0.0000 0.0000 0.0000 x2
U 0.3333 0.6667 0.2500 x2
Ga 0.3333 0.6667 0.7500 x2
I 0.0224 0.3820 0.1456 x12

Raw total energy = -3.623 eV/atom


(4)
A plane-wave DFT calculation with GGA-PBE was carried out for a geometry-optimized Cs2UGaI6 structure.

abc: 8.9489 12.6676 8.9696
angles: 90.00 90.00 90.00
Space group Pmmn (No. 59, origin choice 2)
Symmetry-distinct sites (fractional):
Cs 0.2500 0.0044 0.2418 x4
U 0.2500 0.7500 0.7534 x2
Ga 0.2500 0.2500 0.7452 x2
I 0.0019 0.7500 0.5099 x4
I 0.0047 0.7500 0.0008 x4
I 0.2500 0.5039 0.7548 x4

Raw total energy = -3.552 eV/atom


(5)
A plane-wave DFT calculation with GGA-PBE was carried out for a geometry-optimized Cs2VGaI6 structure.

abc: 11.9536 11.9536 11.9536
angles: 90.00 90.00 90.00
Space group Fm-3m (No. 225)
Symmetry-distinct sites (fractional):
Cs 0.2500 0.2500 0.2500 x8
V 0.0000 0.0000 0.0000 x4
Ga 0.0000 0.0000 0.5000 x4
I 0.0000 0.0000 0.2340 x24

Raw total energy = -3.177 eV/atom


(6)
A plane-wave DFT calculation with GGA-PBE was carried out for a geometry-optimized CsZnGaI4 structure.

abc: 7.7903 8.2568 10.4033
angles: 90.00 108.93 90.00
Space group P2_1/m (No. 11)
Symmetry-distinct sites (fractional):
Cs 0.2472 0.2500 0.0548 x2
Zn 0.2195 0.7500 0.3236 x2
Ga 0.2230 0.2500 0.5297 x2
I 0.0020 0.0052 0.2812 x4
I 0.3942 0.7500 0.1446 x2
I 0.4407 0.7500 0.5748 x2

Raw total energy = -2.424 eV/atom


(7)
A plane-wave DFT calculation with GGA-PBE was carried out for a geometry-optimized Cs2Zn2GaI6 structure.

abc: 14.7650 8.5802 9.4263
angles: 90.00 121.81 90.00
Space group C2/m (No. 12)
Symmetry-distinct sites (fractional):
Cs 0.2217 0.0000 0.2214 x4
Zn 0.0338 0.5000 0.1549 x4
Ga 0.0000 0.0000 0.5000 x2
I 0.0446 0.2442 0.7889 x8
I 0.2461 0.5000 0.3346 x4

Raw total energy = -2.320 eV/atom


(8)
A plane-wave DFT calculation with GGA-PBE was carried out for a geometry-optimized Cs2ZnGaI6 structure.

abc: 8.2833 8.2833 11.7696
angles: 90.00 90.00 90.00
Space group I4/mmm (No. 139)
Symmetry-distinct sites (fractional):
Cs 0.0000 0.5000 0.2500 x4
Zn 0.0000 0.0000 0.0000 x2
Ga 0.0000 0.0000 0.5000 x2
I 0.0000 0.0000 0.2476 x4
I 0.2472 0.2472 0.0000 x8

Raw total energy = -2.381 eV/atom


(9)
A plane-wave DFT calculation with GGA-PBE was carried out for a geometry-optimized Cs2ZrGaI6 structure.

abc: 12.2673 12.2673 12.2673
angles: 90.00 90.00 90.00
Space group Fm-3m (No. 225)
Symmetry-distinct sites (fractional):
Cs 0.2500 0.2500 0.2500 x8
Zr 0.0000 0.0000 0.0000 x4
Ga 0.0000 0.0000 0.5000 x4
I 0.0000 0.0000 0.2392 x24

Energy relative to the lowest polymorph listed for this composition = 0.011 eV/atom


(10)
A plane-wave DFT calculation with GGA-PBE was carried out for a geometry-optimized Cs2ZrGaI6 structure.

abc: 8.6083 8.6083 44.1107
angles: 90.00 90.00 120.00
Space group R-3m (No. 166, hexagonal axes)
Symmetry-distinct sites (fractional):
Cs 0.0000 0.0000 0.1232 x6
Cs 0.0000 0.0000 0.3001 x6
Zr 0.0000 0.0000 0.0000 x3
Zr 0.0000 0.0000 0.5000 x3
Ga 0.0000 0.0000 0.4206 x6
I 0.0011 0.5005 0.8699 x18
I 0.0144 0.5072 0.7053 x18

Energy relative to the lowest polymorph listed for this composition = 0.000 eV/atom


(11)
A plane-wave DFT calculation with GGA-PBE was carried out for a geometry-optimized CsZrGaI6 structure.

abc: 8.0692 8.0692 16.7807
angles: 90.00 90.00 120.00
Space group P-31c (No. 163)
Symmetry-distinct sites (fractional):
Cs 0.0000 0.0000 0.0000 x2
Zr 0.3333 0.6667 0.2500 x2
Ga 0.3333 0.6667 0.7500 x2
I 0.0321 0.3846 0.1506 x12

Raw total energy = -3.357 eV/atom


(12)
A plane-wave DFT calculation with GGA-PBE was carried out for a geometry-optimized CsIn2Ga8 structure.

abc: 5.0891 5.0891 11.9665
angles: 90.00 90.00 90.00
Space group P4/mmm (No. 123)
Symmetry-distinct sites (fractional):
Cs 0.0000 0.0000 0.0000 x1
In 0.0000 0.0000 0.3667 x2
Ga 0.0000 0.5000 0.2458 x4
Ga 0.0000 0.5000 0.5000 x2
Ga 0.5000 0.5000 0.3755 x2

Calculated formation energy = 46 meV per atom


(13)
A plane-wave DFT calculation with GGA-PBE was carried out for a geometry-optimized Cs2In6Ga3 structure.

abc: 8.9554 8.9554 4.9273
angles: 90.00 90.00 120.00
Space group P-62m (No. 189)
Symmetry-distinct sites (fractional):
Cs 0.3333 0.6667 0.0000 x2
In 0.0000 0.1960 0.0000 x3
In 0.0000 0.7002 0.5000 x3
Ga 0.0000 0.3541 0.5000 x3

Calculated formation energy = -80 meV per atom


(14)
A plane-wave DFT calculation with GGA-PBE was carried out for a geometry-optimized Cs2In3Ga2 structure.

abc: 4.5962 7.3096 8.1029
angles: 89.81 89.86 71.91
Space group P-1 (No. 2)
Symmetry-distinct sites (fractional):
Cs 0.1316 0.2414 0.4013 x2
In 0.0000 0.5000 0.0000 x1
In 0.2201 0.0605 0.8804 x2
Ga 0.4054 0.6864 0.1613 x2

Calculated formation energy = -14 meV per atom


(15)
A plane-wave DFT calculation with GGA-PBE was carried out for a geometry-optimized Cs2In5Ga3 structure.

abc: 12.2724 14.1868 7.0307
angles: 90.00 90.00 90.00
Space group Ibam (No. 72)
Symmetry-distinct sites (fractional):
Cs 0.2463 0.1269 0.0000 x8
In 0.0000 0.2596 0.2500 x8
In 0.0000 0.5000 0.2500 x4
In 0.1299 0.1184 0.5000 x8
Ga 0.0000 0.0000 0.2500 x4
Ga 0.1327 0.3790 0.0000 x8

Calculated formation energy = -92 meV per atom
Energy relative to the lowest polymorph listed for this composition = 0.000 eV/atom


(16)
A plane-wave DFT calculation with GGA-PBE was carried out for a geometry-optimized CsInGa structure.

abc: 3.9581 3.9581 14.0037
angles: 90.00 90.00 90.00
Space group I4mm (No. 107)
Symmetry-distinct sites (fractional):
Cs 0.0000 0.0000 0.0000 x2
In 0.0000 0.0000 0.2826 x2
Ga 0.0000 0.0000 0.7128 x2

Calculated formation energy = 34 meV per atom
Energy relative to the lowest polymorph listed for this composition = 0.134 eV/atom


(17)
A plane-wave DFT calculation with GGA-PBE was carried out for a geometry-optimized CsIn5Ga3 structure.

abc: 4.7220 15.6715 14.3924
angles: 90.00 90.00 90.00
Space group Cmcm (No. 63)
Symmetry-distinct sites (fractional):
Cs 0.0000 0.1703 0.2500 x4
In 0.0000 0.0000 0.0000 x4
In 0.0000 0.1927 0.5717 x8
In 0.0000 0.4667 0.1453 x8
Ga 0.0000 0.1078 0.7500 x4
Ga 0.0000 0.3739 0.5370 x8

Calculated formation energy = -25 meV per atom


(18)
A plane-wave DFT calculation with GGA-PBE was carried out for a geometry-optimized Cs2InGa structure.

abc: 12.6096 7.0963 4.8835
angles: 90.00 112.40 90.00
Space group C2 (No. 5)
Symmetry-distinct sites (fractional):
Cs 0.1806 0.0000 0.1816 x4
In 0.0000 0.4920 0.0000 x2
Ga 0.0000 0.6383 0.5000 x2

Calculated formation energy = -38 meV per atom
Energy relative to the lowest polymorph listed for this composition = 0.000 eV/atom


(19)
A plane-wave DFT calculation with GGA-PBE was carried out for a geometry-optimized CsIn6Ga2 structure.

abc: 5.3219 5.3219 9.3607
angles: 90.00 90.00 90.00
Space group P4/mmm (No. 123)
Symmetry-distinct sites (fractional):
Cs 0.0000 0.0000 0.0000 x1
In 0.0000 0.0000 0.5000 x1
In 0.0000 0.5000 0.3084 x4
In 0.5000 0.5000 0.5000 x1
Ga 0.5000 0.5000 0.1589 x2

Calculated formation energy = -38 meV per atom


(20)
A plane-wave DFT calculation with GGA-PBE was carried out for a geometry-optimized CsIn2Ga2 structure.

abc: 4.9786 4.9786 12.1860
angles: 90.00 90.00 90.00
Space group I4/mmm (No. 139)
Symmetry-distinct sites (fractional):
Cs 0.0000 0.0000 0.0000 x2
In 0.0000 0.0000 0.3722 x4
Ga 0.0000 0.5000 0.2500 x4

Calculated formation energy = -67 meV per atom
Energy relative to the lowest polymorph listed for this composition = 0.023 eV/atom


| no. | ρ (g/cm³) |
| --- | --- |
| 1 | 4.17 |
| 2 | 4.40 |
| 3 | 4.02 |
| 4 | 4.36 |
| 5 | 4.46 |
| 6 | 4.07 |
| 7 | 4.02 |
| 8 | 4.78 |
| 9 | 4.28 |
| 10 | 4.18 |
| 11 | 3.70 |
| 12 | 4.93 |
| 13 | 5.65 |
| 14 | 4.81 |
| 15 | 5.69 |
| 16 | 4.81 |
| 17 | 5.71 |
| 18 | 3.70 |
| 19 | 6.02 |
| 20 | 5.52 |